Density functional theory data (PBE-GGA) for a relaxed Li2Zn5Ni4 crystal.

Computed properties:
* formation enthalpy at 0 K: -133 meV/atom
* magnetization: 0.00 μB/cell

Cell: 12.6617 4.1351 5.5424 Å, 90.00 92.81 90.00°
Last column: nearest neighbours and their distance in Å.
Space group C2/m (No. 12)
One atom of each set of equivalent atoms:
Li1 0.0933 0.0000 0.1231 [4 per cell]  3 Ni 2.44-2.59, 3 Zn 2.45-2.53, 1 Li 2.67
Zn1 0.0000 0.0000 0.5000 [2 per cell]  6 Ni 2.37-2.53, 2 Li 2.45
Zn2 0.1644 0.5000 0.4660 [4 per cell]  5 Ni 2.45-2.56, 1 Zn 2.74
Zn3 0.1864 0.5000 0.9758 [4 per cell]  4 Ni 2.41-2.51, 2 Li 2.53, 2 Zn 2.63
Ni1 0.0166 0.5000 0.7615 [4 per cell]  5 Zn 2.41-2.56, 2 Li 2.59
Ni2 0.1643 0.0000 0.7221 [4 per cell]  7 Zn 2.37-2.51, 1 Li 2.44

=====

Density functional theory data (PBE-GGA) for a relaxed Cr3P crystal.

Computed properties:
* formation enthalpy at 0 K: -361 meV/atom
* magnetization: 0.00 μB/cell

Cell: 9.0921 9.0921 4.4911 Å, 90.00 90.00 90.00°
Last column: nearest neighbours and their distance in Å.
Space group I-4 (No. 82)
One atom of each set of equivalent atoms:
Cr1 0.0296 0.3582 0.0012 [8 per cell]  4 P 2.31-2.36, 2 Cr 2.40-2.57
Cr2 0.0755 0.8985 0.2362 [8 per cell]  2 Cr 2.30-2.50, 2 P 2.35
Cr3 0.1660 0.7778 0.7700 [8 per cell]  3 P 2.30-2.40, 3 Cr 2.40-2.57
P1 0.0450 0.2904 0.4965 [8 per cell]  9 Cr 2.30-2.40

=====

One value per record, in order, for calculated volume: 290; 371 Å³/cell.
One value per record, in order, for electronic total energy: -34.788; -35.723 eV per formula unit.